Zn3Ag2: single point on PBEsol structure, meta-GGA SCAN.

Geometry as POSCAR:
```
Zn3Ag2
1.0
-0.9539 3.4002 3.6557
-4.0912 3.1654 -0.4782
-3.2315 -6.0309 1.2325
Ag Zn
4 6
direct
0.0332 0.0696 0.3961
0.8871 0.5696 0.1039
0.7068 0.9304 0.6039
0.3528 0.4304 0.8961
0.7994 0.4064 0.7010
0.5048 0.5936 0.2990
0.9559 0.0000 0.0000
0.3484 0.9064 0.7990
0.2059 0.5000 0.5000
0.4557 0.0936 0.2010
```

Computed properties:
As for the formation energy: -0.0069 eV/atom. The volume is 14.9 A^3/atom. For the spin magnetization, the calculation gives 0.000 μB per atom. The density of states at the Fermi level is 1.0 states/eV/f.u.



ZnAg: single point on PBEsol structure, meta-GGA SCAN.

Geometry as POSCAR:
```
ZnAg
1.0
-2.2664 0.6159 -1.7452
-1.8017 -0.1034 2.3032
0.5100 3.4455 0.5537
Ag Zn
1 1
direct
0.0000 0.0000 0.0000
0.5000 0.5000 0.5000
```

Computed properties:
As for the formation energy: -0.0179 eV/atom. The volume is 15.1 A^3/atom. For the spin magnetization, the calculation gives 0.000 μB per atom. The density of states at the Fermi level is 0.6 states/eV/f.u.



Zn3Ag2: single point on PBEsol structure, meta-GGA SCAN.

Geometry as POSCAR:
```
Zn3Ag2
1.0
2.8599 0.0000 0.0000
0.0000 2.8599 0.0000
-1.4300 -1.4300 9.0977
Zn Ag
3 2
direct
0.5000 0.5000 0.0000
0.7038 0.7038 0.4075
0.2962 0.2962 0.5925
0.1013 0.1013 0.2026
0.8987 0.8987 0.7974
```

Computed properties:
As for the formation energy: -0.0182 eV/atom. The volume is 14.9 A^3/atom. For the spin magnetization, the calculation gives 0.000 μB per atom. The density of states at the Fermi level is 1.0 states/eV/f.u.



ZnAg4: single point on PBEsol structure, meta-GGA SCAN.

Geometry as POSCAR:
```
ZnAg4
1.0
2.8338 0.0000 0.0000
1.4169 4.7284 0.0134
1.4169 1.1541 5.9679
Ag Zn
4 1
direct
0.5937 0.7017 0.1110
0.4063 0.2983 0.8890
0.2091 0.8845 0.6973
0.7909 0.1155 0.3027
0.0000 0.5000 0.5000
```

Computed properties:
As for the formation energy: -0.0067 eV/atom. The volume is 16.0 A^3/atom. For the spin magnetization, the calculation gives 0.000 μB per atom. The density of states at the Fermi level is 1.3 states/eV/f.u.



ZnAg2: single point on PBEsol structure, meta-GGA SCAN.

Geometry as POSCAR:
```
ZnAg2
1.0
2.9666 0.0000 0.0000
0.0000 7.3947 0.0000
0.0000 -3.6973 6.4040
Ag Zn
6 3
direct
0.5000 0.6293 0.0000
0.5000 0.0000 0.6293
0.0000 0.7047 0.7047
0.0000 0.0000 0.2953
0.5000 0.3707 0.3707
0.0000 0.2953 0.0000
0.5000 0.0000 0.0000
0.0000 0.6667 0.3333
0.0000 0.3333 0.6667
```

Computed properties:
As for the formation energy: -0.0376 eV/atom. The volume is 15.6 A^3/atom. For the spin magnetization, the calculation gives 0.000 μB per atom. The density of states at the Fermi level is 0.6 states/eV/f.u.



ZnAg2: single point on PBEsol structure, meta-GGA SCAN.

Geometry as POSCAR:
```
ZnAg2
1.0
2.8714 0.0000 0.0000
-1.4357 4.8644 -0.2812
0.0000 -2.2623 6.8224
Ag Zn
4 2
direct
0.9976 0.9952 0.7095
0.6556 0.3111 0.0728
0.0024 0.0048 0.2905
0.3444 0.6889 0.9272
0.6909 0.3817 0.6050
0.3091 0.6183 0.3950
```

Computed properties:
As for the formation energy: -0.0162 eV/atom. The volume is 15.6 A^3/atom. For the spin magnetization, the calculation gives 0.000 μB per atom. The density of states at the Fermi level is 0.7 states/eV/f.u.



ZnAg3: single point on PBEsol structure, meta-GGA SCAN.

Geometry as POSCAR:
```
ZnAg3
1.0
-2.3577 -1.1847 1.1625
-1.5042 -1.1024 -4.1740
2.2754 -4.2354 0.2986
Ag Zn
3 1
direct
0.0000 0.0000 0.9992
0.5000 0.5000 0.8376
0.5000 0.0000 0.4917
0.0000 0.5000 0.3381
```

Computed properties:
As for the formation energy: -0.0027 eV/atom. The volume is 15.9 A^3/atom. For the spin magnetization, the calculation gives 0.000 μB per atom. The density of states at the Fermi level is 1.0 states/eV/f.u.



ZnAg4: single point on PBEsol structure, meta-GGA SCAN.

Geometry as POSCAR:
```
ZnAg4
1.0
-0.9205 -2.0987 1.7217
-1.7741 -2.0105 -1.0132
7.9589 -7.6895 -2.7323
Zn Ag
1 4
direct
0.5000 0.5000 0.5000
0.1034 0.1034 0.6899
0.2990 0.2990 0.1031
0.7010 0.7010 0.8969
0.8966 0.8966 0.3101
```

Computed properties:
As for the formation energy: 0.0000 eV/atom. The volume is 16.0 A^3/atom. For the spin magnetization, the calculation gives 0.000 μB per atom. The density of states at the Fermi level is 1.4 states/eV/f.u.



ZnAg3: single point on PBEsol structure, meta-GGA SCAN.

Geometry as POSCAR:
```
ZnAg3
1.0
4.4788 0.0000 0.0000
2.2394 3.8788 0.0000
2.2394 1.2929 3.6569
Zn Ag
1 3
direct
0.5000 0.5000 0.5000
0.7500 0.7500 0.7500
0.2500 0.2500 0.2500
0.0000 0.0000 0.0000
```

Computed properties:
As for the formation energy: 0.0217 eV/atom. The volume is 15.9 A^3/atom. For the spin magnetization, the calculation gives 0.000 μB per atom. The density of states at the Fermi level is 0.7 states/eV/f.u.



Zn4Ag: single point on PBEsol structure, meta-GGA SCAN.

Geometry as POSCAR:
```
Zn4Ag
1.0
-0.6810 0.5383 -2.7031
-3.5684 -1.2311 0.6539
0.3014 6.5293 2.7152
Zn Ag
4 1
direct
0.2019 0.2019 0.4038
0.7981 0.7981 0.5962
0.3970 0.3970 0.7940
0.6030 0.6030 0.2060
0.0000 0.0000 0.0000
```

Computed properties:
As for the formation energy: 0.0078 eV/atom. The volume is 14.5 A^3/atom. For the spin magnetization, the calculation gives 0.000 μB per atom. The density of states at the Fermi level is 1.0 states/eV/f.u.



ZnAg: single point on PBEsol structure, meta-GGA SCAN.

Geometry as POSCAR:
```
ZnAg
1.0
-0.2256 5.0959 -1.6425
-7.6636 -0.2819 0.1779
0.0965 2.7457 8.5054
Zn Ag
12 12
direct
0.2500 0.6071 0.6331
0.7500 0.4498 0.9185
0.2500 0.5502 0.0815
0.2500 0.1071 0.3669
0.5000 0.7500 0.4087
0.7500 0.9498 0.0815
0.7500 0.3929 0.3669
0.0000 0.7500 0.4087
0.2500 0.0502 0.9185
0.0000 0.2500 0.5913
0.7500 0.8929 0.6331
0.5000 0.2500 0.5913
0.0000 0.7500 0.8748
0.7500 0.1304 0.8362
0.5000 0.2500 0.1252
0.2500 0.9550 0.6359
0.7500 0.6304 0.1638
0.7500 0.0450 0.3641
0.0000 0.2500 0.1252
0.7500 0.5450 0.6359
0.2500 0.4550 0.3641
0.2500 0.8696 0.1638
0.2500 0.3696 0.8362
0.5000 0.7500 0.8748
```

Computed properties:
As for the formation energy: -0.0033 eV/atom. The volume is 15.3 A^3/atom. For the spin magnetization, the calculation gives 0.000 μB per atom. The density of states at the Fermi level is 0.5 states/eV/f.u.



ZnAg2: single point on PBEsol structure, meta-GGA SCAN.

Geometry as POSCAR:
```
ZnAg2
1.0
-2.6082 -0.9601 -0.5828
1.6757 -3.8964 -1.0806
-1.2140 0.7908 4.1302
Ag Zn
2 1
direct
0.2778 0.6667 0.3333
0.7222 0.3333 0.6667
0.0000 0.0000 0.0000
```

Computed properties:
As for the formation energy: -0.0001 eV/atom. The volume is 15.7 A^3/atom. For the spin magnetization, the calculation gives 0.000 μB per atom. The density of states at the Fermi level is 0.8 states/eV/f.u.